Computed, not measured: a relaxed structure of NpTl2CoO6 at the GGA+U level of DFT.

Computed properties:
The volume is 338 Å³ per cell. For the total DFT energy (no corrections), the calculation gives -6.795 eV/atom.

Geometry as CIF:
```
data_NpTl2CoO6
_cell_length_a 12.552
_cell_length_b 5.597
_cell_length_c 5.095
_cell_angle_alpha 90.00
_cell_angle_beta 109.21
_cell_angle_gamma 90.00
_symmetry_space_group_name_H-M 'C 1 2/m 1'
_symmetry_Int_Tables_number 12
loop_
_symmetry_equiv_pos_as_xyz
'x,y,z'
'-x,-y,-z'
'-x,y,-z'
'x,-y,z'
'x+1/2,y+1/2,z'
'-x+1/2,-y+1/2,-z'
'-x+1/2,y+1/2,-z'
'x+1/2,-y+1/2,z'
loop_
_atom_site_label
_atom_site_fract_x
_atom_site_fract_y
_atom_site_fract_z
_atom_site_occupancy
Np1 0.000 0.000 0.000 1
Tl1 0.223 0.500 0.190 1
Co1 0.000 0.500 0.500 1
O1 0.047 0.270 0.770 1
O2 0.153 0.000 0.232 1
```